A) Here is Li2PrCu2 after structural relaxation from the Alexandria database. Energies are from PBE.

Lattice parameters (Å, degrees): 4.0354 3.9328 12.6565 98.94 99.17 90.00
Closest atoms and distances in Å follow each position.
Sites, in units of the cell vectors:
Li 0.4520 0.7020 0.9040  2 Cu 2.65, 4 Li 2.82
Li 0.9504 0.2004 0.9007  2 Cu 2.67, 4 Li 2.82
Li 0.5480 0.2980 0.0960  2 Cu 2.65, 4 Li 2.82
Li 0.0496 0.7996 0.0993  2 Cu 2.67, 4 Li 2.82
Cu 0.3797 0.1297 0.7595  1 Cu 2.51, 4 Li 2.65-2.67
Cu 0.2780 0.0280 0.5561  3 Cu 2.45-2.51
Cu 0.7220 0.9720 0.4439  3 Cu 2.45-2.51
Cu 0.6203 0.8703 0.2405  1 Cu 2.51, 4 Li 2.65-2.67
Pr 0.1735 0.4235 0.3469  10 Cu 3.06-3.24
Pr 0.8265 0.5765 0.6531  10 Cu 3.06-3.24

Properties
The density of states at the Fermi level is 0.55 states/eV per atom.

=====

B) Here is Li2PrCu2 after structural relaxation from the Alexandria database. Energies are from PBE.

Lattice parameters (Å, degrees): 4.1876 5.0652 5.4379 108.61 112.65 90.00
Closest atoms and distances in Å follow each position.
Sites, in units of the cell vectors:
Cu 0.2714 0.8854 0.5428  2 Cu 2.50, 4 Li 2.61-2.66
Cu 0.7286 0.1146 0.4572  2 Cu 2.50, 4 Li 2.61-2.66
Pr 0.0000 0.0000 0.0000  6 Cu 2.98-3.01
Li 0.3454 0.4333 0.6908  4 Cu 2.61-2.66
Li 0.6546 0.5667 0.3092  4 Cu 2.61-2.66

Properties
The density of states at the Fermi level is 0.53 states/eV per atom.

=====

Relative energies with respect to the most stable structure, expressed in eV/atom: A) 0.000; B) 0.048.

=====

A) Here is LiCuPt after structural relaxation from the Alexandria database. Energies are from PBE.

Lattice parameters (Å, degrees): 5.0289 4.7250 8.0437 90.00 121.77 90.00
Closest atoms and distances in Å follow each position.
Sites, in units of the cell vectors:
Li 0.9981 0.2649 0.6637  4 Pt 2.62-2.67, 5 Cu 2.64-2.72, 3 Li 2.64-2.73
Li 0.0019 0.2649 0.3363  4 Pt 2.62-2.67, 5 Cu 2.64-2.72, 3 Li 2.64-2.73
Li 0.0019 0.7649 0.8363  4 Pt 2.62-2.67, 5 Cu 2.64-2.72, 3 Li 2.64-2.73
Li 0.9981 0.7649 0.1637  4 Pt 2.62-2.67, 5 Cu 2.64-2.72, 3 Li 2.64-2.73
Pt 0.4949 0.5904 0.8299  4 Li 2.62-2.67, 5 Cu 2.64-2.74, 3 Pt 2.70-2.71
Pt 0.4949 0.0904 0.3299  4 Li 2.62-2.67, 5 Cu 2.64-2.74, 3 Pt 2.70-2.71
Pt 0.5051 0.0904 0.6701  4 Li 2.62-2.67, 5 Cu 2.64-2.74, 3 Pt 2.70-2.71
Pt 0.5051 0.5904 0.1701  4 Li 2.62-2.67, 5 Cu 2.64-2.74, 3 Pt 2.70-2.71
Cu 0.5000 0.0949 0.0000  4 Li 2.64-2.67, 2 Cu 2.65, 6 Pt 2.67-2.74
Cu 0.5000 0.5949 0.5000  4 Li 2.64-2.67, 2 Cu 2.65, 6 Pt 2.67-2.74
Cu 0.0000 0.7687 0.5000  4 Pt 2.64, 2 Cu 2.65, 6 Li 2.69-2.72
Cu 0.0000 0.2687 0.0000  4 Pt 2.64, 2 Cu 2.65, 6 Li 2.69-2.72

Properties
The density of states at the Fermi level is 0.34 states/eV per atom.

=====

B) Here is LiCuPt after structural relaxation from the Alexandria database. Energies are from PBE.

Lattice parameters (Å, degrees): 4.0702 4.0702 4.0702 60.00 60.00 60.00
Closest atoms and distances in Å follow each position.
Sites, in units of the cell vectors:
Pt 0.5000 0.5000 0.5000  4 Cu 2.49
Cu 0.7500 0.7500 0.7500  4 Li 2.49, 4 Pt 2.49
Li 0.0000 0.0000 0.0000  4 Cu 2.49

Properties
The density of states at the Fermi level is 0.21 states/eV per atom.

=====

Relative energies with respect to the most stable structure, expressed in eV/atom: A) 0.000; B) 0.345.

=====

A) Here is LiCuPt after structural relaxation from the Alexandria database. Energies are from PBE.

Lattice parameters (Å, degrees): 4.7415 7.9725 4.5366 90.00 110.67 90.00
Closest atoms and distances in Å follow each position.
Sites, in units of the cell vectors:
Pt 0.5000 0.3469 0.0000  6 Li 2.61-2.69, 4 Cu 2.64-2.67, 2 Pt 2.76
Pt 0.0000 0.5236 0.0000  6 Cu 2.63-2.65, 4 Li 2.64-2.69, 2 Pt 2.76
Pt 0.5000 0.8469 0.5000  6 Li 2.61-2.69, 4 Cu 2.64-2.67, 2 Pt 2.76
Pt 0.0000 0.0236 0.5000  6 Cu 2.63-2.65, 4 Li 2.64-2.69, 2 Pt 2.76
Li 0.5000 0.1841 0.5000  5 Pt 2.61-2.69, 3 Li 2.62-2.67, 4 Cu 2.64-2.73
Li 0.5000 0.5189 0.5000  5 Pt 2.61-2.65, 3 Li 2.62-2.67, 4 Cu 2.71-2.74
Li 0.5000 0.0189 0.0000  5 Pt 2.61-2.65, 3 Li 2.62-2.67, 4 Cu 2.71-2.74
Li 0.5000 0.6841 0.0000  5 Pt 2.61-2.69, 3 Li 2.62-2.67, 4 Cu 2.64-2.73
Cu 0.0000 0.3530 0.5000  3 Cu 2.61-2.70, 5 Pt 2.63-2.64, 4 Li 2.71-2.73
Cu 0.0000 0.6916 0.5000  3 Cu 2.61-2.70, 5 Pt 2.63-2.67, 4 Li 2.64-2.74
Cu 0.0000 0.8530 0.0000  3 Cu 2.61-2.70, 5 Pt 2.63-2.64, 4 Li 2.71-2.73
Cu 0.0000 0.1916 0.0000  3 Cu 2.61-2.70, 5 Pt 2.63-2.67, 4 Li 2.64-2.74

Properties
The density of states at the Fermi level is 0.40 states/eV per atom.

=====

B) Here is LiCuPt after structural relaxation from the Alexandria database. Energies are from PBE.

Lattice parameters (Å, degrees): 7.0044 6.7666 2.6615 83.93 73.87 22.20
Closest atoms and distances in Å follow each position.
Sites, in units of the cell vectors:
Cu 0.9959 0.9959 0.0041  2 Li 2.55, 6 Cu 2.66-2.76, 2 Pt 2.69
Pt 0.6702 0.6702 0.3298  2 Li 2.57, 6 Pt 2.66-2.76, 2 Cu 2.69
Li 0.3339 0.3339 0.6661  2 Cu 2.55, 2 Pt 2.57, 6 Li 2.66-2.76

Properties
The density of states at the Fermi level is 0.30 states/eV per atom.

=====

Relative energies with respect to the most stable structure, expressed in eV/atom: A) 0.000; B) 0.126.